# 1
PBE Ga8Tc2Ni, relaxed; electronic total energy = -0.34381 Ry/atom; crystal system = monoclinic
1.0
-1.062 -2.738 -3.694
5.107 -2.922 4.173
-1.230 -3.316 6.286
Ga Tc Ni
8 2 1
direct
0.144 0.847 0.847
0.899 0.625 0.625
0.640 0.196 0.642
0.101 0.375 0.375
0.360 0.804 0.358
0.360 0.358 0.804
0.856 0.153 0.153
0.640 0.642 0.196
0.461 0.237 0.237
0.539 0.763 0.763
0.000 0.000 0.000


# 2
PBE GaTcNi, relaxed; electronic total energy = -0.47928 Ry/atom; polymorph energy (0 for the lowest one) = 101 meV/atom; crystal system = monoclinic
1.0
-1.710 5.277 -3.403
-2.621 -1.328 -0.742
-2.608 0.446 8.413
Ga Ni Tc
4 4 4
direct
0.606 0.000 0.669
0.606 0.500 0.169
0.394 0.000 0.331
0.394 0.500 0.831
0.714 0.000 0.987
0.714 0.500 0.487
0.286 0.500 0.513
0.286 0.000 0.013
0.944 0.500 0.845
0.056 0.500 0.155
0.944 0.000 0.345
0.056 0.000 0.655


# 3
PBE GaTcNi2, relaxed; electronic total energy = -0.47042 Ry/atom; crystal system = tetragonal
1.0
-2.477 -0.623 0.669
0.839 -0.786 2.377
-0.983 6.634 2.541
Ni Tc Ga
2 1 1
direct
0.000 0.000 0.243
0.000 0.000 0.757
0.500 0.500 0.500
0.500 0.500 0.000


# 4
PBE Ga2TcNi, relaxed; electronic total energy = -0.40490 Ry/atom; polymorph energy (0 for the lowest one) = 319 meV/atom; crystal system = trigonal
1.0
-0.540 -3.269 -2.001
-1.519 -3.105 1.740
-4.935 -0.705 -1.260
Ni Ga Tc
1 2 1
direct
0.678 0.678 0.967
0.267 0.267 0.198
0.067 0.067 0.799
0.488 0.488 0.536


# 5
PBE GaTcNi, relaxed; electronic total energy = -0.47959 Ry/atom; polymorph energy (0 for the lowest one) = 97 meV/atom; crystal system = monoclinic
1.0
4.218 0.000 -0.012
0.000 2.978 0.000
-1.222 0.000 6.394
Ni Tc Ga
2 2 2
direct
0.289 0.500 0.653
0.711 0.500 0.347
0.500 0.000 0.000
0.000 0.500 0.000
0.798 0.000 0.662
0.202 0.000 0.338


# 6
PBE GaTcNi, relaxed; electronic total energy = -0.48674 Ry/atom; polymorph energy (0 for the lowest one) = 0 meV/atom; crystal system = tetragonal
1.0
2.977 0.000 0.000
0.000 2.977 0.000
0.000 0.000 8.940
Tc Ga Ni
2 2 2
direct
0.500 0.000 0.415
0.000 0.500 0.585
0.500 0.000 0.778
0.000 0.500 0.222
0.500 0.000 0.083
0.000 0.500 0.917


# 7
PBE Ga2TcNi, relaxed; electronic total energy = -0.42240 Ry/atom; polymorph energy (0 for the lowest one) = 81 meV/atom; crystal system = cubic
1.0
0.000 2.998 2.998
2.998 0.000 2.998
2.998 2.998 0.000
Ga Ni Tc
2 1 1
direct
0.250 0.250 0.250
0.750 0.750 0.750
0.000 0.000 0.000
0.500 0.500 0.500


# 8
PBE Ga2TcNi, relaxed; electronic total energy = -0.39636 Ry/atom; polymorph energy (0 for the lowest one) = 435 meV/atom; crystal system = tetragonal
1.0
-3.519 4.126 -3.821
-2.435 -5.181 -3.353
-5.041 -0.681 -1.852
Ga Ni Tc
4 2 2
direct
0.875 0.849 0.750
0.151 0.625 0.250
0.599 0.125 0.250
0.375 0.401 0.750
0.500 0.500 0.000
0.250 0.750 0.500
0.750 0.250 0.500
0.000 0.000 0.000


# 9
PBE GaTcNi, relaxed; electronic total energy = -0.47721 Ry/atom; polymorph energy (0 for the lowest one) = 130 meV/atom; crystal system = tetragonal
1.0
2.703 0.000 0.000
0.000 2.703 0.000
-1.352 -1.352 5.439
Ga Tc Ni
1 1 1
direct
0.325 0.325 0.651
0.008 0.008 0.015
0.667 0.667 0.334


# 10
PBE GaTcNi14, relaxed; electronic total energy = -0.43725 Ry/atom; crystal system = tetragonal
1.0
5.040 -0.011 0.000
0.011 5.040 0.000
0.000 0.000 7.066
Ga Ni Tc
1 14 1
direct
0.875 0.875 0.500
0.126 0.126 0.754
0.126 0.624 0.246
0.126 0.126 0.246
0.875 0.875 0.000
0.624 0.126 0.246
0.375 0.875 0.500
0.624 0.624 0.246
0.875 0.375 0.000
0.375 0.375 0.000
0.624 0.126 0.754
0.624 0.624 0.754
0.126 0.624 0.754
0.375 0.875 0.000
0.875 0.375 0.500
0.375 0.375 0.500


# 11
PBE GaTcNi, relaxed; electronic total energy = -0.48117 Ry/atom; polymorph energy (0 for the lowest one) = 76 meV/atom; crystal system = monoclinic
1.0
6.479 0.000 -0.002
0.000 2.868 0.000
-0.721 0.000 8.961
Ni Tc Ga
4 4 4
direct
0.651 0.000 0.701
0.651 0.500 0.201
0.349 0.000 0.299
0.349 0.500 0.799
0.049 0.500 0.367
0.951 0.500 0.633
0.049 0.000 0.867
0.951 0.000 0.133
0.303 0.000 0.572
0.697 0.500 0.928
0.697 0.000 0.428
0.303 0.500 0.072


# 12
PBE Ga3TcNi, relaxed; electronic total energy = -0.32343 Ry/atom; polymorph energy (0 for the lowest one) = 137 meV/atom; crystal system = cubic
1.0
-1.240 4.231 -1.755
1.084 -1.496 -4.371
-4.450 -1.543 -0.576
Ga Tc Ni
3 1 1
direct
0.000 0.500 0.000
0.000 0.000 0.500
0.500 0.000 0.000
0.000 0.000 0.000
0.500 0.500 0.500


# 13
PBE GaTcNi, relaxed; electronic total energy = -0.48165 Ry/atom; polymorph energy (0 for the lowest one) = 69 meV/atom; crystal system = orthorhombic
1.0
2.801 0.000 0.000
0.000 13.369 0.000
0.000 0.000 4.289
Tc Ga Ni
4 4 4
direct
0.500 0.550 0.750
0.500 0.450 0.250
0.000 0.950 0.250
0.000 0.050 0.750
0.500 0.127 0.250
0.000 0.373 0.750
0.000 0.627 0.250
0.500 0.873 0.750
0.500 0.783 0.250
0.500 0.217 0.750
0.000 0.717 0.750
0.000 0.283 0.250


# 14
PBE GaTcNi, relaxed; electronic total energy = -0.48278 Ry/atom; polymorph energy (0 for the lowest one) = 54 meV/atom; crystal system = monoclinic
1.0
-6.328 3.861 -0.764
-1.438 -2.343 0.072
2.583 -1.337 8.147
Ni Tc Ga
4 4 4
direct
0.401 0.000 0.826
0.401 0.500 0.326
0.599 0.500 0.674
0.599 0.000 0.174
0.926 0.500 0.340
0.074 0.000 0.160
0.074 0.500 0.660
0.926 0.000 0.840
0.286 0.000 0.512
0.286 0.500 0.012
0.714 0.500 0.988
0.714 0.000 0.488


# 15
PBE GaTcNi3, relaxed; electronic total energy = -0.37692 Ry/atom; polymorph energy (0 for the lowest one) = 0 meV/atom; crystal system = cubic
1.0
4.284 0.000 0.000
0.000 4.284 0.000
0.000 0.000 4.284
Ga Ni Tc
1 3 1
direct
0.000 0.000 0.000
0.000 0.500 0.000
0.500 0.000 0.000
0.000 0.000 0.500
0.500 0.500 0.500


# 16
PBE GaTcNi, relaxed; electronic total energy = -0.47474 Ry/atom; polymorph energy (0 for the lowest one) = 163 meV/atom; crystal system = trigonal
1.0
-1.378 -1.800 -1.558
2.743 0.137 -0.155
1.391 -12.681 13.417
Ga Tc Ni
3 3 3
direct
0.000 0.000 0.172
0.333 0.667 0.838
0.667 0.333 0.505
0.667 0.333 0.720
0.333 0.667 0.053
0.000 0.000 0.386
0.667 0.333 0.943
0.333 0.667 0.277
0.000 0.000 0.610


# 17
PBE GaTcNi3, relaxed; electronic total energy = -0.36309 Ry/atom; polymorph energy (0 for the lowest one) = 188 meV/atom; crystal system = cubic
1.0
-0.734 -3.348 -2.902
0.687 -2.992 3.278
-4.377 0.092 1.001
Ni Ga Tc
3 1 1
direct
0.000 0.000 0.500
0.000 0.500 0.000
0.500 0.000 0.000
0.500 0.500 0.500
0.000 0.000 0.000


# 18
PBE GaTcNi, relaxed; electronic total energy = -0.48104 Ry/atom; polymorph energy (0 for the lowest one) = 78 meV/atom; crystal system = monoclinic
1.0
-3.148 2.084 3.831
-1.901 -3.300 0.233
6.010 -3.161 4.273
Ga Ni Tc
4 4 4
direct
0.323 0.500 0.402
0.990 0.500 0.716
0.990 0.000 0.216
0.323 0.000 0.902
0.458 0.000 0.229
0.160 0.500 0.042
0.458 0.500 0.729
0.160 0.000 0.542
0.665 0.500 0.064
0.665 0.000 0.564
0.801 0.500 0.387
0.801 0.000 0.887


# 19
PBE GaTcNi, relaxed; electronic total energy = -0.48370 Ry/atom; polymorph energy (0 for the lowest one) = 41 meV/atom; crystal system = tetragonal
1.0
-0.014 -2.767 -0.680
2.211 -0.439 1.743
-6.150 -1.776 7.353
Tc Ni Ga
2 2 2
direct
0.000 0.000 0.038
0.500 0.500 0.213
0.500 0.500 0.550
0.500 0.500 0.857
0.000 0.000 0.396
0.000 0.000 0.709


# 20
PBE GaTcNi, relaxed; electronic total energy = -0.48104 Ry/atom; polymorph energy (0 for the lowest one) = 78 meV/atom; crystal system = monoclinic
1.0
6.169 0.000 0.001
0.000 3.112 0.000
-2.422 0.000 8.421
Ni Ga Tc
4 4 4
direct
0.126 0.500 0.129
0.438 0.500 0.831
0.126 0.000 0.629
0.438 0.000 0.331
0.351 0.000 0.023
0.020 0.500 0.819
0.020 0.000 0.319
0.351 0.500 0.523
0.786 0.000 0.981
0.677 0.000 0.680
0.677 0.500 0.180
0.786 0.500 0.481


These records have ΔH_f (0 K) values of -0.07 -0.13 -0.16 0.04 -0.13 -0.23 -0.20 0.16 -0.10 -0.05 -0.16 0.65 -0.16 -0.18 1.02 -0.07 1.21 -0.15 -0.19 -0.15 eV per atom, in the order they appear.
These records have total magnetization values of 0.42 0.00 0.00 0.82 0.00 0.00 0.00 1.85 0.00 4.07 0.00 0.47 0.00 0.00 4.34 0.00 0.00 0.00 0.00 0.00 Bohr magnetons per cell, in the order they appear.